Record 1
Compound: GdY2Rh
Source: Alexandria
Functional: PBE
Structure: relaxed

a b c (Å): 3.8043 3.8043 9.6639
angles (deg): 78.65 78.65 60.00
With the nearest neighbours (Å) after each atom.
Element x y z (fractional)
Y  0.7261  0.7261  0.8216  3 Rh 2.76
Y  0.2739  0.2739  0.1784  3 Rh 2.76
Gd  0.5000  0.5000  0.5000  6 Y 3.74, 6 Gd 3.80
Rh  0.0000  0.0000  0.0000  6 Y 2.76

Calculated values
Crystal system: trigonal
Total magnetic moment, μB/atom: 2.105
E_form, eV/atom: -0.308
SG: R-3m, No. 166
VASP energy, eV per atom: -8.8977

Record 2
Compound: Cd2GaO
Source: Alexandria
Functional: PBE
Structure: relaxed

a b c (Å): 4.6720 4.6720 4.6720
angles (deg): 60.00 60.00 60.00
With the nearest neighbours (Å) after each atom.
Element x y z (fractional)
Cd  0.7500  0.7500  0.7500  4 O 2.86, 4 Ga 2.86
Cd  0.2500  0.2500  0.2500  4 Ga 2.86, 4 O 2.86
O  0.0000  0.0000  0.0000  8 Cd 2.86
Ga  0.5000  0.5000  0.5000  8 Cd 2.86

Calculated values
Crystal system: cubic
Total magnetic moment, μB/atom: 0.000
ΔE to the lowest computed polymorph, meV per atom: 445.5
SG: Fm-3m, No. 225
Formation energy from raw total energies, eV/atom: 0.13
VASP energy, eV per atom: -2.3194

Record 3
Compound: Ho8CS6
Source: Alexandria
Functional: PBE
Structure: relaxed

a b c (Å): 3.9636 9.7195 9.7195
angles (deg): 120.00 90.00 90.00
With the nearest neighbours (Å) after each atom.
Element x y z (fractional)
S  0.7546  0.4762  0.3467  5 Ho 2.64-2.76
S  0.7546  0.8706  0.5238  5 Ho 2.64-2.76
S  0.2454  0.5238  0.6533  5 Ho 2.64-2.76
S  0.7546  0.6533  0.1294  5 Ho 2.64-2.76
S  0.2454  0.1294  0.4762  5 Ho 2.64-2.76
S  0.2454  0.3467  0.8706  5 Ho 2.64-2.76
Ho  0.2549  0.6667  0.3333  6 S 2.76
Ho  0.7369  0.2975  0.0250  3 S 2.64-2.71, 1 C 2.93
Ho  0.7369  0.7275  0.7025  3 S 2.64-2.71, 1 C 2.93
Ho  0.7369  0.9750  0.2725  3 S 2.64-2.71, 1 C 2.93
Ho  0.2631  0.7025  0.9750  3 S 2.64-2.71, 1 C 2.93
Ho  0.2631  0.0250  0.7275  3 S 2.64-2.71, 1 C 2.93
Ho  0.2631  0.2725  0.2975  3 S 2.64-2.71, 1 C 2.93
Ho  0.7451  0.3333  0.6667  6 S 2.76
C  0.5000  0.0000  0.0000  6 Ho 2.93

Calculated values
Crystal system: trigonal
Total magnetic moment, μB/atom: 0.000
SG: P-3, No. 147
Formation energy from raw total energies, eV/atom: -1.16
VASP energy, eV per atom: -5.8694

Record 4
Compound: MnBe4Pd5
Source: Alexandria
Functional: PBE
Structure: relaxed

a b c (Å): 2.8131 2.8131 15.2321
angles (deg): 90.00 90.00 90.00
With the nearest neighbours (Å) after each atom.
Element x y z (fractional)
Be  0.0000  0.0000  0.7840  8 Pd 2.42-2.48
Be  0.0000  0.0000  0.4059  8 Pd 2.44-2.45
Be  0.0000  0.0000  0.5941  8 Pd 2.44-2.45
Be  0.0000  0.0000  0.2160  8 Pd 2.42-2.48
Pd  0.5000  0.5000  0.3133  8 Be 2.44-2.48
Pd  0.5000  0.5000  0.1257  4 Be 2.42
Pd  0.5000  0.5000  0.8743  4 Be 2.42
Pd  0.5000  0.5000  0.5000  8 Be 2.45
Pd  0.5000  0.5000  0.6867  8 Be 2.44-2.48
Mn  0.0000  0.0000  0.0000  8 Pd 2.76, 4 Mn 2.81

Calculated values
Crystal system: tetragonal
Total magnetic moment, μB/atom: 0.405
E_form, eV/atom: -0.509
SG: P4/mmm, No. 123
VASP energy, eV per atom: -5.5131